Entry 1:
Density functional theory data (GGA-PBE) for crystalline CoBi2P at its relaxed geometry.

Output
The calculation puts the total energy at -37.0 eV/cell. The calculation puts the spin magnetization at 0.0 Bohr magnetons per cell. The formation energy is 1.80 eV per formula unit.

Cell lengths 7.3676, 7.3676, 7.3676 Å; angles 130.83, 130.83, 72.09 degrees
Fractional coordinates of all 8 atoms:
Co: 0.0000 0.0000 0.0000
Co: 0.7500 0.2500 0.5000
Bi: 0.0910 0.6250 0.9660
Bi: 0.3750 0.3409 0.4660
Bi: 0.6590 0.1250 0.0340
Bi: 0.8750 0.9090 0.5340
P: 0.2500 0.7500 0.5000
P: 0.5000 0.5000 0.0000

=====

Entry 2:
Density functional theory data (GGA-PBE) for crystalline Co2BiP2 at its relaxed geometry.

Output
The calculation puts the total energy at -29.3 eV/cell. The calculation puts the spin magnetization at 0.0 Bohr magnetons per cell. The formation energy is -0.42 eV per formula unit.

Cell lengths 6.4887, 6.4887, 6.4887 Å; angles 147.43, 147.43, 46.73 degrees
Fractional coordinates of all 5 atoms:
Co: 0.1439 0.1439 0.0000
Co: 0.8561 0.8561 0.0000
Bi: 0.5000 0.5000 0.0000
P: 0.2500 0.7500 0.5000
P: 0.7500 0.2500 0.5000

=====

Entry 3:
Density functional theory data (GGA-PBE) for crystalline CoBiPS2 at its relaxed geometry.

Output
The calculation puts the total energy at -17.7 eV/cell. The calculation puts the spin magnetization at 3.6 Bohr magnetons per cell. The uncorrected formation energy comes out at 1.387 eV/atom. The energy relative to the lowest polymorph listed for this composition is 1.170 eV per atom.

Cell lengths 5.1841, 5.1841, 5.2648 Å; angles 90.00, 90.00, 90.00 degrees
Fractional coordinates of all 5 atoms:
Co: 0.0000 0.0000 0.0000
Bi: 0.5000 0.5000 0.5000
P: 0.5000 0.5000 0.0000
S: 0.0000 0.5000 0.5000
S: 0.5000 0.0000 0.5000

=====

Entry 4:
Density functional theory data (GGA-PBE) for crystalline CoBiPS2 at its relaxed geometry.

Output
The calculation puts the total energy at -23.6 eV/cell. The calculation puts the spin magnetization at 0.0 Bohr magnetons per cell. The uncorrected formation energy comes out at 0.217 eV/atom. The energy relative to the lowest polymorph listed for this composition is 0.000 eV per atom.

Cell lengths 4.7618, 4.7618, 4.1359 Å; angles 90.00, 90.00, 90.00 degrees
Fractional coordinates of all 5 atoms:
Co: 0.0000 0.0000 0.0000
Bi: 0.5000 0.5000 0.5000
P: 0.0000 0.0000 0.5000
S: 0.0000 0.5000 0.0000
S: 0.5000 0.0000 0.0000

=====

Entry 5:
Density functional theory data (GGA-PBE) for crystalline TlCoBi2P at its relaxed geometry.

Output
The calculation puts the total energy at -21.0 eV/cell. The calculation puts the spin magnetization at 0.8 Bohr magnetons per cell. The formation energy is 1.66 eV per formula unit.

Cell lengths 5.6811, 5.6811, 4.1463 Å; angles 90.00, 90.00, 90.00 degrees
Fractional coordinates of all 5 atoms:
Tl: 0.0000 0.0000 0.0000
Co: 0.5000 0.5000 0.0000
Bi: 0.0000 0.5000 0.5000
Bi: 0.5000 0.0000 0.5000
P: 0.5000 0.5000 0.5000

=====

Entry 6:
Density functional theory data (GGA-PBE) for crystalline CoBiP2W at its relaxed geometry.

Output
The calculation puts the total energy at -31.2 eV/cell. The calculation puts the spin magnetization at 0.5 Bohr magnetons per cell. The formation energy is 3.54 eV per formula unit.

Cell lengths 4.6660, 4.6660, 4.7370 Å; angles 90.00, 90.00, 90.00 degrees
Fractional coordinates of all 5 atoms:
Co: 0.0000 0.0000 0.0000
Bi: 0.5000 0.5000 0.0000
P: 0.0000 0.5000 0.5000
P: 0.5000 0.0000 0.5000
W: 0.0000 0.0000 0.5000